DFT (PBE) results for a relaxed structure of Sr3VHg.

```
data_Sr3VHg
_space_group_name_H-M_alt 'P m -3 m'
_space_group_IT_number 221
_space_group_name_Hall '-P 4 2 3'
_cell_length_a 6.1413
_cell_length_b 6.1413
_cell_length_c 6.1413
_cell_angle_alpha 90.00
_cell_angle_beta 90.00
_cell_angle_gamma 90.00
loop_
_atom_site_label
_atom_site_fract_x
_atom_site_fract_y
_atom_site_fract_z
Sr1 0.0000 0.0000 0.5000
V1 0.5000 0.5000 0.5000
Hg1 0.0000 0.0000 0.0000
```

Values from the calculation:
Energy above the lowest structure with this stoichiometry = 0 meV/atom
DFT total energy = -2.375 eV/atom